Record 1
Material: BeCo2Br
Method: DFT, PBEsol
State: optimized geometry

a = 3.9524 Å, b = 3.9524 Å, c = 2.9123 Å
α = 90.00°, β = 90.00°, γ = 90.00°
Element x y z (fractional)
Be (0.0000, 0.0000, 0.0000)
Co (0.0000, 0.5000, 0.5000)
Co (0.5000, 0.0000, 0.5000)
Br (0.5000, 0.5000, 0.0000)

Properties
Space-group type = No. 123
ΔE to the lowest computed polymorph = 0.179 eV/atom
Density = 7.55 Mg/m³
Total DFT energy (no corrections) = -4.767 eV/atom
E_form (uncorrected) = 0.569 eV/atom

=====

Record 2
Material: CdCo2P
Method: DFT, PBEsol
State: optimized geometry

a = 5.2608 Å, b = 5.2608 Å, c = 5.2608 Å
α = 104.88°, β = 104.88°, γ = 119.10°
Element x y z (fractional)
Cd (0.0000, 0.0000, 0.0000)
Cd (0.7500, 0.2500, 0.5000)
Co (0.1961, 0.6250, 0.0711)
Co (0.3750, 0.4461, 0.5711)
Co (0.5539, 0.1250, 0.9289)
Co (0.8750, 0.8039, 0.4289)
P (0.2500, 0.7500, 0.5000)
P (0.5000, 0.5000, 0.0000)

Properties
Space-group type = No. 122
ΔE to the lowest computed polymorph = 0.000 eV/atom
Density = 7.91 Mg/m³
Total DFT energy (no corrections) = -5.550 eV/atom
Formation energy from the elements = 65 meV/atom